Material: PaFeMoO6
Method: DFT, PBE+U
State: optimized geometry

Computed properties:
Size of the total moment: 0.778 μB/atom
SG: P-31c (163)
Electronic total energy: -0.5858 Ry per atom

Lattice parameters (Å, degrees): 5.4408 5.4408 8.8966 90.00 90.00 120.00
Last column: nearest neighbours and their distance in Å.
Sites, in units of the cell vectors:
Pa  0.3333  0.6667  0.2500  6 O 2.20
Pa  0.6667  0.3333  0.7500  6 O 2.20
Fe  0.0000  0.0000  0.0000  6 O 2.10
Fe  0.0000  0.0000  0.5000  6 O 2.10
Mo  0.3333  0.6667  0.7500  6 O 2.08
Mo  0.6667  0.3333  0.2500  6 O 2.08
O  0.0165  0.3348  0.6263  1 Mo 2.08, 1 Fe 2.10, 1 Pa 2.20
O  0.0165  0.6818  0.8737  1 Mo 2.08, 1 Fe 2.10, 1 Pa 2.20
O  0.3182  0.3348  0.8737  1 Mo 2.08, 1 Fe 2.10, 1 Pa 2.20
O  0.3182  0.9835  0.6263  1 Mo 2.08, 1 Fe 2.10, 1 Pa 2.20
O  0.3348  0.0165  0.1263  1 Mo 2.08, 1 Fe 2.10, 1 Pa 2.20
O  0.3348  0.3182  0.3737  1 Mo 2.08, 1 Fe 2.10, 1 Pa 2.20
O  0.6652  0.6818  0.6263  1 Mo 2.08, 1 Fe 2.10, 1 Pa 2.20
O  0.6652  0.9835  0.8737  1 Mo 2.08, 1 Fe 2.10, 1 Pa 2.20
O  0.6818  0.0165  0.3737  1 Mo 2.08, 1 Fe 2.10, 1 Pa 2.20
O  0.6818  0.6652  0.1263  1 Mo 2.08, 1 Fe 2.10, 1 Pa 2.20
O  0.9835  0.3182  0.1263  1 Mo 2.08, 1 Fe 2.10, 1 Pa 2.20
O  0.9835  0.6652  0.3737  1 Mo 2.08, 1 Fe 2.10, 1 Pa 2.20